[1]
Density functional theory data (GGA-PBE) for CaLaIr after structural relaxation.

Results
formation enthalpy at 0 K: -481 meV per atom
energy above the most stable polymorph in this dataset: 0.0 kJ per mole of atoms

abc: 6.997 6.997 6.997
angles: 90.00 90.00 90.00
Space group F-43m (No. 216)
Symmetry-distinct sites (fractional):
Ca  0.000  0.000  0.000
La  0.000  0.000  0.500
Ir  0.250  0.250  0.250

[2]
Density functional theory data (GGA-PBE) for Ca2LaIr after structural relaxation.

Results
formation enthalpy at 0 K: 138 meV per atom
energy above the most stable polymorph in this dataset: 53.6 kJ per mole of atoms

abc: 6.080 11.722 4.353
angles: 90.00 134.12 90.00
Space group C2/m (No. 12)
Symmetry-distinct sites (fractional):
Ca  0.250  0.250  0.000
La  0.000  0.000  0.500
Ir  0.000  0.500  0.500

[3]
Density functional theory data (GGA-PBE) for Ca2LaIr after structural relaxation.

Results
formation enthalpy at 0 K: -137 meV per atom
energy above the most stable polymorph in this dataset: 27.0 kJ per mole of atoms

abc: 10.057 10.057 5.548
angles: 90.00 90.00 90.00
Space group I-42d (No. 122)
Symmetry-distinct sites (fractional):
Ca  0.127  0.250  0.125
La  0.000  0.000  0.500
Ir  0.000  0.000  0.000

[4]
Density functional theory data (GGA-PBE) for Ca2LaIr after structural relaxation.

Results
formation enthalpy at 0 K: -265 meV per atom
energy above the most stable polymorph in this dataset: 14.7 kJ per mole of atoms

abc: 12.830 3.789 5.763
angles: 90.00 116.68 90.00
Space group Cm (No. 8)
Symmetry-distinct sites (fractional):
Ca  0.000  0.000  0.000
Ca  0.179  0.000  0.679
La  0.358  0.000  0.358
Ir  0.192  0.500  0.190

[5]
Density functional theory data (GGA-PBE) for CaLa2Ir after structural relaxation.

Results
formation enthalpy at 0 K: -233 meV per atom
energy above the most stable polymorph in this dataset: 20.4 kJ per mole of atoms

abc: 9.039 9.039 6.513
angles: 90.00 90.00 90.00
Space group I-42d (No. 122)
Symmetry-distinct sites (fractional):
Ca  0.000  0.000  0.000
La  0.161  0.250  0.625
Ir  0.000  0.000  0.500

[6]
Density functional theory data (GGA-PBE) for Ca2LaIr after structural relaxation.

Results
formation enthalpy at 0 K: 180 meV per atom
energy above the most stable polymorph in this dataset: 57.7 kJ per mole of atoms

abc: 6.000 9.999 3.519
angles: 90.00 90.00 90.00
Space group Cmmm (No. 65)
Symmetry-distinct sites (fractional):
Ca  0.250  0.250  0.000
La  0.000  0.000  0.500
Ir  0.000  0.500  0.500

[7]
Density functional theory data (GGA-PBE) for Ca2La3Ir2 after structural relaxation.

Results
formation enthalpy at 0 K: -487 meV per atom

abc: 12.881 3.988 9.398
angles: 90.00 118.00 90.00
Space group C2/m (No. 12)
Symmetry-distinct sites (fractional):
Ca  0.176  0.000  0.308
La  0.000  0.500  0.500
La  0.118  0.500  0.931
Ir  0.169  0.000  0.750

[8]
Density functional theory data (GGA-PBE) for CaLaIr after structural relaxation.

Results
formation enthalpy at 0 K: 239 meV per atom
energy above the most stable polymorph in this dataset: 69.4 kJ per mole of atoms

abc: 6.851 6.851 6.851
angles: 90.00 90.00 90.00
Space group F-43m (No. 216)
Symmetry-distinct sites (fractional):
Ca  0.000  0.000  0.000
La  0.250  0.250  0.750
Ir  0.000  0.000  0.500

[9]
Density functional theory data (GGA-PBE) for CaLa2Ir after structural relaxation.

Results
formation enthalpy at 0 K: -364 meV per atom
energy above the most stable polymorph in this dataset: 7.7 kJ per mole of atoms

abc: 3.917 5.818 10.935
angles: 90.00 90.00 90.00
Space group Immm (No. 71)
Symmetry-distinct sites (fractional):
Ca  0.000  0.000  0.000
La  0.000  0.500  0.185
Ir  0.000  0.000  0.500

[10]
Density functional theory data (GGA-PBE) for CaLaIr after structural relaxation.

Results
formation enthalpy at 0 K: -441 meV per atom
energy above the most stable polymorph in this dataset: 3.9 kJ per mole of atoms

abc: 4.1939 4.1939 6.5478
angles: 90.00 90.00 120.00
Space group P3m1 (No. 156)
Symmetry-distinct sites (fractional):
Ca  0.0000  0.0000  0.0000
La  0.3333  0.6667  0.4597
Ir  0.6667  0.3333  0.2455

[11]
Density functional theory data (GGA-PBE) for CaLa2Ir2 after structural relaxation.

Results
formation enthalpy at 0 K: -389 meV per atom
energy above the most stable polymorph in this dataset: 18.2 kJ per mole of atoms

abc: 8.528 8.528 3.376
angles: 90.00 90.00 90.00
Space group P4/mbm (No. 127)
Symmetry-distinct sites (fractional):
Ca  0.000  0.000  0.000
La  0.139  0.361  0.000
Ir  0.164  0.664  0.500

[12]
Density functional theory data (GGA-PBE) for CaLa2Ir after structural relaxation.

Results
formation enthalpy at 0 K: -439 meV per atom
energy above the most stable polymorph in this dataset: 0.5 kJ per mole of atoms

abc: 4.1994 4.1994 29.5378
angles: 90.00 90.00 120.00
Space group R-3m (No. 166, hexagonal axes)
Symmetry-distinct sites (fractional):
Ca  0.0000  0.0000  0.0000
La  0.0000  0.0000  0.2185
Ir  0.0000  0.0000  0.5000